TbYPuCd after structural relaxation. Source: Alexandria via LeMat-Bulk, functional GGA-PBE.

Properties
The value obtained for the formation energy is 0.0681 eV/atom. The uncorrected energy comes out at -6.52 eV/atom. The size of the total moment comes out at 6.71 μB/cell.

POSCAR file:
```
TbYPuCd
1.0
5.417 0.000 0.000
2.709 4.691 0.000
2.709 1.564 4.423
Tb Pu Cd Y
1 1 1 1
direct
0.000 0.000 0.000
0.250 0.250 0.250
0.750 0.750 0.750
0.500 0.500 0.500
```